First-principles (PBE) data for a relaxed Np2Ge3Pt4Au crystal, as listed in Alexandria.

Results
energy of formation from the pure elements: -0.48 eV per atom
density: 14.4 g/cm3
DOS(E_F): 1.76 states/eV/atom

a = 4.0468 Å, b = 4.0468 Å, c = 11.7247 Å
α = 90.00°, β = 90.00°, γ = 90.00°
Element x y z (fractional)
Np  0.0000  0.5000  0.2486
Np  0.5000  0.0000  0.7514
Ge  0.0000  0.0000  0.0000
Ge  0.0000  0.5000  0.6293
Ge  0.5000  0.0000  0.3707
Pt  0.0000  0.0000  0.5000
Pt  0.0000  0.5000  0.8363
Pt  0.5000  0.0000  0.1637
Pt  0.5000  0.5000  0.5000
Au  0.5000  0.5000  0.0000